Record 1
# Tm2BeZn PBE optimized geometry
# Calculated volume: 327.3 Å³/cell
# Energy above the lowest structure with this stoichiometry: 7 meV/atom
# Formation enthalpy at 0 K: -132 meV per atom
data_Tm2BeZn
_space_group_name_H-M_alt 'F m -3 m'
_space_group_IT_number 225
_space_group_name_Hall '-F 4 2 3'
_cell_length_a 6.891
_cell_length_b 6.891
_cell_length_c 6.891
_cell_angle_alpha 90.00
_cell_angle_beta 90.00
_cell_angle_gamma 90.00
loop_
_atom_site_label
_atom_site_type_symbol
_atom_site_fract_x
_atom_site_fract_y
_atom_site_fract_z
Tm1 Tm 0.250 0.250 0.250
Be1 Be 0.000 0.000 0.000
Zn1 Zn 0.000 0.000 0.500

Record 2
# Sr3Cd3Pb8 PBE optimized geometry
# Calculated volume: 896.6 Å³/cell
# Formation enthalpy at 0 K: -245 meV per atom
data_Sr3Cd3Pb8
_space_group_name_H-M_alt 'I m m m'
_space_group_IT_number 71
_space_group_name_Hall '-I 2 2'
_cell_length_a 5.399
_cell_length_b 11.547
_cell_length_c 14.383
_cell_angle_alpha 90.00
_cell_angle_beta 90.00
_cell_angle_gamma 90.00
loop_
_atom_site_label
_atom_site_type_symbol
_atom_site_fract_x
_atom_site_fract_y
_atom_site_fract_z
Sr1 Sr 0.000 0.000 0.000
Sr2 Sr 0.000 0.000 0.284
Cd1 Cd 0.000 0.138 0.500
Cd2 Cd 0.000 0.500 0.000
Pb1 Pb 0.000 0.294 0.147
Pb2 Pb 0.000 0.358 0.371

Record 3
# ScCdRh PBE optimized geometry
# Calculated volume: 110.6 Å³/cell
# Formation enthalpy at 0 K: -575 meV per atom
data_ScCdRh
_space_group_name_H-M_alt 'I m m 2'
_space_group_IT_number 44
_cell_length_a 3.272
_cell_length_b 3.504
_cell_length_c 9.641
_cell_angle_alpha 90.00
_cell_angle_beta 90.00
_cell_angle_gamma 90.00
loop_
_space_group_symop_operation_xyz
'x,y,z'
'-x,-y,z'
'-x,y,z'
'x,-y,z'
'x+1/2,y+1/2,z+1/2'
'-x+1/2,-y+1/2,z+1/2'
'-x+1/2,y+1/2,z+1/2'
'x+1/2,-y+1/2,z+1/2'
loop_
_atom_site_label
_atom_site_type_symbol
_atom_site_fract_x
_atom_site_fract_y
_atom_site_fract_z
Sc1 Sc 0.000 0.000 0.000
Cd1 Cd 0.000 0.000 0.306
Rh1 Rh 0.000 0.000 0.631

Record 4
# Sc2NbRh PBE optimized geometry
# Calculated volume: 74.8 Å³/cell
# Energy above the lowest structure with this stoichiometry: 0 meV/atom
# Formation enthalpy at 0 K: -402 meV per atom
data_Sc2NbRh
_space_group_name_H-M_alt 'P 4/m m m'
_space_group_IT_number 123
_space_group_name_Hall '-P 4 2'
_cell_length_a 3.173
_cell_length_b 3.173
_cell_length_c 7.429
_cell_angle_alpha 90.00
_cell_angle_beta 90.00
_cell_angle_gamma 90.00
loop_
_atom_site_label
_atom_site_type_symbol
_atom_site_fract_x
_atom_site_fract_y
_atom_site_fract_z
Sc1 Sc 0.000 0.000 0.220
Nb1 Nb 0.500 0.500 0.500
Rh1 Rh 0.500 0.500 0.000

Record 5
# TiBeCoNi PBE optimized geometry
# Calculated volume: 178.8 Å³/cell
# Formation enthalpy at 0 K: -389 meV per atom
data_TiBeCoNi
_space_group_name_H-M_alt 'F -4 3 m'
_space_group_IT_number 216
_space_group_name_Hall 'F -4 2 3'
_cell_length_a 5.633
_cell_length_b 5.633
_cell_length_c 5.633
_cell_angle_alpha 90.00
_cell_angle_beta 90.00
_cell_angle_gamma 90.00
loop_
_atom_site_label
_atom_site_type_symbol
_atom_site_fract_x
_atom_site_fract_y
_atom_site_fract_z
Ti1 Ti 0.000 0.000 0.000
Be1 Be 0.000 0.000 0.500
Co1 Co 0.250 0.250 0.750
Ni1 Ni 0.250 0.250 0.250

Record 6
# BaTa2Mo PBE optimized geometry
# Calculated volume: 271.4 Å³/cell
# Energy above the lowest structure with this stoichiometry: 251 meV/atom
# Formation enthalpy at 0 K: 788 meV per atom
data_BaTa2Mo
_space_group_name_H-M_alt 'R -3 m'
_space_group_IT_number 166
_space_group_name_Hall '-R 3 2"'
_cell_length_a 3.1963
_cell_length_b 3.1963
_cell_length_c 30.6765
_cell_angle_alpha 90.00
_cell_angle_beta 90.00
_cell_angle_gamma 120.00
loop_
_atom_site_label
_atom_site_type_symbol
_atom_site_fract_x
_atom_site_fract_y
_atom_site_fract_z
Ba1 Ba 0.0000 0.0000 0.0000
Ta1 Ta 0.0000 0.0000 0.2308
Mo1 Mo 0.0000 0.0000 0.5000

Record 7
# FeSbRu PBE optimized geometry
# Calculated volume: 47.3 Å³/cell
# Formation energy (no corrections): 0.277 eV/atom
data_FeSbRu
_space_group_name_H-M_alt 'P 3 m 1'
_space_group_IT_number 156
_cell_length_a 4.2653
_cell_length_b 4.2653
_cell_length_c 2.9989
_cell_angle_alpha 90.00
_cell_angle_beta 90.00
_cell_angle_gamma 120.00
loop_
_space_group_symop_operation_xyz
'x,y,z'
'-y,x-y,z'
'-x+y,-x,z'
'-y,-x,z'
'-x+y,y,z'
'x,x-y,z'
loop_
_atom_site_label
_atom_site_type_symbol
_atom_site_fract_x
_atom_site_fract_y
_atom_site_fract_z
Fe1 Fe 0.0000 0.0000 0.0000
Sb1 Sb 0.3333 0.6667 0.7594
Ru1 Ru 0.6667 0.3333 0.4062

Record 8
# Ho2Ag3GeSe6 PBE optimized geometry
# Calculated volume: 561.6 Å³/cell
# Formation energy (no corrections): -0.800 eV/atom
data_Ho2Ag3GeSe6
_space_group_name_H-M_alt 'C 1 2/m 1'
_space_group_IT_number 12
_cell_length_a 17.814
_cell_length_b 4.063
_cell_length_c 7.902
_cell_angle_alpha 90.00
_cell_angle_beta 100.95
_cell_angle_gamma 90.00
loop_
_space_group_symop_operation_xyz
'x,y,z'
'-x,-y,-z'
'-x,y,-z'
'x,-y,z'
'x+1/2,y+1/2,z'
'-x+1/2,-y+1/2,-z'
'-x+1/2,y+1/2,-z'
'x+1/2,-y+1/2,z'
loop_
_atom_site_label
_atom_site_type_symbol
_atom_site_fract_x
_atom_site_fract_y
_atom_site_fract_z
Ho1 Ho 0.165 0.000 0.328
Ag1 Ag 0.000 0.500 0.500
Ag2 Ag 0.177 0.000 0.833
Ge1 Ge 0.000 0.500 0.000
Se1 Se 0.000 0.000 0.246
Se2 Se 0.159 0.500 0.074
Se3 Se 0.170 0.500 0.584

Record 9
# TcPS2Cl PBE optimized geometry
# Calculated volume: 102.7 Å³/cell
# Energy above the lowest structure with this stoichiometry: 269 meV/atom
# Formation energy (no corrections): 0.595 eV/atom
data_TcPS2Cl
_space_group_name_H-M_alt 'P 4/m m m'
_space_group_IT_number 123
_space_group_name_Hall '-P 4 2'
_cell_length_a 4.587
_cell_length_b 4.587
_cell_length_c 4.882
_cell_angle_alpha 90.00
_cell_angle_beta 90.00
_cell_angle_gamma 90.00
loop_
_atom_site_label
_atom_site_type_symbol
_atom_site_fract_x
_atom_site_fract_y
_atom_site_fract_z
Tc1 Tc 0.000 0.000 0.000
P1 P 0.500 0.500 0.500
S1 S 0.000 0.500 0.000
Cl1 Cl 0.000 0.000 0.500

Record 10
# Ba3In4Au4 PBE optimized geometry
# Calculated volume: 622.9 Å³/cell
# Formation enthalpy at 0 K: -585 meV per atom
data_Ba3In4Au4
_space_group_name_H-M_alt 'I m m m'
_space_group_IT_number 71
_space_group_name_Hall '-I 2 2'
_cell_length_a 4.748
_cell_length_b 8.096
_cell_length_c 16.205
_cell_angle_alpha 90.00
_cell_angle_beta 90.00
_cell_angle_gamma 90.00
loop_
_atom_site_label
_atom_site_type_symbol
_atom_site_fract_x
_atom_site_fract_y
_atom_site_fract_z
Ba1 Ba 0.000 0.000 0.000
Ba2 Ba 0.000 0.500 0.121
In1 In 0.000 0.307 0.325
Au1 Au 0.000 0.000 0.219
Au2 Au 0.000 0.198 0.500

Record 11
# SeNClF2 PBE optimized geometry
# Calculated volume: 69.0 Å³/cell
# Energy above the lowest structure with this stoichiometry: 0 meV/atom
# Formation energy (no corrections): 0.321 eV/atom
data_SeNClF2
_space_group_name_H-M_alt 'P 4/m m m'
_space_group_IT_number 123
_space_group_name_Hall '-P 4 2'
_cell_length_a 4.080
_cell_length_b 4.080
_cell_length_c 4.144
_cell_angle_alpha 90.00
_cell_angle_beta 90.00
_cell_angle_gamma 90.00
loop_
_atom_site_label
_atom_site_type_symbol
_atom_site_fract_x
_atom_site_fract_y
_atom_site_fract_z
Se1 Se 0.000 0.000 0.000
N1 N 0.000 0.000 0.500
Cl1 Cl 0.500 0.500 0.500
F1 F 0.000 0.500 0.000

Record 12
# RhSe PBE optimized geometry
# Calculated volume: 65.8 Å³/cell
# Formation energy (no corrections): 0.007 eV/atom
data_RhSe
_space_group_name_H-M_alt 'P 63/m m c'
_space_group_IT_number 194
_space_group_name_Hall '-P 6c 2c'
_cell_length_a 3.1546
_cell_length_b 3.1546
_cell_length_c 7.6328
_cell_angle_alpha 90.00
_cell_angle_beta 90.00
_cell_angle_gamma 120.00
loop_
_atom_site_label
_atom_site_type_symbol
_atom_site_fract_x
_atom_site_fract_y
_atom_site_fract_z
Rh1 Rh 0.3333 0.6667 0.2500
Se1 Se 0.0000 0.0000 0.0000

What is the formula in the second record?
Sr3Cd3Pb8